(1)
Material: TlRe2
Method: DFT, PBE
State: relaxed

The calculation puts the energy of formation from the pure elements at 0.635 eV per atom. The raw total energy is -8.452 eV/atom.

It has space group C2/m (No. 12), with a = 10.658 Å, b = 2.896 Å, c = 7.411 Å, α = 90.00°, β = 110.91° and γ = 90.00°. The distinct sites, in fractional coordinates, are Tl at (0.162, 0.000, 0.128), Re at (0.048, 0.500, 0.753) and Re at (0.134, 0.000, 0.517).

=====

(2)
Material: LaPr6Tm2Mg
Method: DFT, PBE
State: relaxed

The calculation puts the energy of formation from the pure elements at 0.101 eV per atom. The raw total energy is -4.313 eV/atom.

It has space group C2/c (No. 15), with a = 10.419 Å, b = 13.877 Å, c = 9.608 Å, α = 90.00°, β = 100.90° and γ = 90.00°. The distinct sites, in fractional coordinates, are La at (0.000, 0.065, 0.250), Pr at (0.057, 0.385, 0.096), Pr at (0.091, 0.172, 0.925), Pr at (0.245, 0.214, 0.330), Tm at (0.235, 0.034, 0.593) and Mg at (0.000, 0.401, 0.750).

=====

(3)
Material: Cs2LiAg2I6
Method: DFT, PBE
State: relaxed

The value obtained for the uncorrected formation energy is -0.82 eV per atom. The raw total energy is -2.514 eV/atom.

It has space group C2/m (No. 12), with a = 15.945 Å, b = 7.820 Å, c = 9.146 Å, α = 90.00°, β = 119.47° and γ = 90.00°. The distinct sites, in fractional coordinates, are Cs at (0.222, 0.000, 0.215), Li at (0.000, 0.000, 0.500), Ag at (0.073, 0.500, 0.258), I at (0.048, 0.234, 0.780) and I at (0.239, 0.000, 0.655).

=====

(4)
Material: LiGd2Bi
Method: DFT, PBE
State: relaxed

The calculation puts the energy of formation from the pure elements at -0.393 eV per atom. The raw total energy is -8.882 eV/atom.

It has space group P4/mmm (No. 123), with a = 4.071 Å, b = 4.071 Å, c = 6.718 Å, α = 90.00°, β = 90.00° and γ = 90.00°. The distinct sites, in fractional coordinates, are Li at (0.000, 0.000, 0.000), Gd at (0.500, 0.500, 0.253) and Bi at (0.000, 0.000, 0.500).

=====

Please write out number 3 again, unchanged.
Material: Cs2LiAg2I6
Method: DFT, PBE
State: relaxed

The value obtained for the uncorrected formation energy is -0.82 eV per atom. The raw total energy is -2.514 eV/atom.

It has space group C2/m (No. 12), with a = 15.945 Å, b = 7.820 Å, c = 9.146 Å, α = 90.00°, β = 119.47° and γ = 90.00°. The distinct sites, in fractional coordinates, are Cs at (0.222, 0.000, 0.215), Li at (0.000, 0.000, 0.500), Ag at (0.073, 0.500, 0.258), I at (0.048, 0.234, 0.780) and I at (0.239, 0.000, 0.655).

=====

> What is the formula in the fourth record?

LiGd2Bi